(1)
The following is a SCAN calculation of a PBEsol-optimized structure of BeSeBr2F, from Alexandria via LeMat-Bulk.

Structure (extended XYZ):
```
5
Lattice="-4.3476 0.9226 -0.7231 0.7228 -0.1403 -4.5249 -0.9497 -4.4849 -0.0126" Properties=species:S:1:pos:R:3 pbc="T T T"
Be 0.0000 0.0000 0.0000
Se -2.1738 0.4613 -0.3615
Br -0.4748 -2.2425 -0.0063
Br 0.3614 -0.0702 -2.2624
F -2.2872 -1.8513 -2.6303
```

Calculated values
- E_tot: -13.356 eV/atom
- Total magnetization: 0.0 μB per formula unit
- Crystal system: tetragonal

---

(2)
The following is a SCAN calculation of a PBEsol-optimized structure of BeSe2BrF, from Alexandria via LeMat-Bulk.

Structure (extended XYZ):
```
5
Lattice="-0.7821 1.9477 3.6322 -3.4845 -2.2869 0.4760 3.0949 -4.1176 2.8744" Properties=species:S:1:pos:R:3 pbc="T T T"
Be -0.5858 -2.2284 3.4913
Se -1.7423 -1.1434 0.2380
Se -0.3911 0.9739 1.8161
Br 1.5475 -2.0588 1.4372
F 0.0000 0.0000 0.0000
```

Calculated values
- E_tot: -12.940 eV/atom
- Total magnetization: 0.0 μB per formula unit
- Crystal system: tetragonal